# 1
Material: LaHfRh2Au
Method: DFT, GGA-PBE
State: optimized geometry

Results
- total energy (eV/atom) = -6.0353
- energy of formation (eV/atom) = 0.54
- theoretical density (g cm⁻³) = 9.58
- space-group type = P4/mmm

abc: 5.0771 5.0771 4.8443
angles: 90.00 90.00 90.00
Last column: nearest neighbours and their distance in Å.
Fractional coordinates of all 5 atoms:
1 La 0.0000 0.0000 0.0000  8 Rh 3.51, 4 Hf 3.59
2 Hf 0.5000 0.5000 0.0000  2 Au 2.42
3 Rh 0.0000 0.5000 0.5000  2 Au 2.54
4 Rh 0.5000 0.0000 0.5000  2 Au 2.54
5 Au 0.5000 0.5000 0.5000  2 Hf 2.42, 4 Rh 2.54

---

# 2
Material: SrCaCN2
Method: DFT, GGA-PBE
State: optimized geometry

Results
- total energy (eV/atom) = -6.4710
- formation energy from raw total energies (eV/atom) = -0.559
- theoretical density (g cm⁻³) = 2.26
- space-group type = P2/m

abc: 5.1112 3.8949 6.3043
angles: 90.00 101.44 90.00
Last column: nearest neighbours and their distance in Å.
Fractional coordinates of all 5 atoms:
1 Sr 0.0000 0.0000 0.0000  2 N 2.61
2 Ca 0.5000 0.5000 0.5000  4 N 2.48
3 C 0.0000 0.0000 0.5000  2 N 1.24
4 N 0.1986 0.0000 0.4148  1 C 1.24
5 N 0.8014 0.0000 0.5852  1 C 1.24

---

# 3
Material: CaBe2As2
Method: DFT, GGA-PBE
State: optimized geometry

Results
- total energy (eV/atom) = -4.0225
- energy of formation (eV/atom) = -0.27
- theoretical density (g cm⁻³) = 3.95
- space-group type = P4/mmm

abc: 3.5483 3.5483 6.9516
angles: 90.00 90.00 90.00
Last column: nearest neighbours and their distance in Å.
Fractional coordinates of all 5 atoms:
1 Ca 0.0000 0.0000 0.0000  8 As 3.14
2 Be 0.0000 0.5000 0.5000  4 As 2.39, 4 Be 2.51
3 Be 0.5000 0.0000 0.5000  4 As 2.39, 4 Be 2.51
4 As 0.5000 0.5000 0.2704  4 Be 2.39
5 As 0.5000 0.5000 0.7296  4 Be 2.39

---

# 4
Material: Co2CuOs
Method: DFT, GGA-PBE
State: optimized geometry

Results
- energy above the lowest structure with this stoichiometry (meV/atom) = 64
- total energy (eV/atom) = -7.1634
- energy of formation (eV/atom) = 0.22
- theoretical density (g cm⁻³) = 12.79
- space-group type = Cm

abc: 4.4723 4.4723 4.4581
angles: 100.13 100.13 33.39
Last column: nearest neighbours and their distance in Å.
Fractional coordinates of all 4 atoms:
1 Co 0.0000 0.0000 0.0000  3 Cu 2.49-2.57, 5 Co 2.52-2.72, 4 Os 2.54-2.61
2 Co 0.7388 0.7388 0.2673  3 Os 2.52-2.53, 5 Co 2.52-2.72, 4 Cu 2.56-2.59
3 Cu 0.2452 0.2452 0.7731  7 Co 2.49-2.59, 2 Cu 2.57, 3 Os 2.62-2.68
4 Os 0.4865 0.4865 0.4863  7 Co 2.52-2.61, 2 Os 2.57, 3 Cu 2.62-2.68